Computed, not measured: a relaxed structure of VFePO2 at the PBE+U level of DFT.

- Space group: P4/mmm (123)
- DOS(E_F): 2.8 states/eV per cell
- Spin magnetization: 5.74 μB/f.u.
- Energy relative to the lowest polymorph listed for this composition: 2.30 eV per formula unit
- DFT total energy: -29.432 eV for the cell shown

The structure in CIF format:
```
data_VFePO2
_cell_length_a 3.6996
_cell_length_b 3.6996
_cell_length_c 4.9824
_cell_angle_alpha 90.00
_cell_angle_beta 90.00
_cell_angle_gamma 90.00
_symmetry_space_group_name_H-M 'P 1'
_symmetry_Int_Tables_number 1
loop_
_symmetry_equiv_pos_as_xyz
'x,y,z'
loop_
_atom_site_label
_atom_site_fract_x
_atom_site_fract_y
_atom_site_fract_z
P1 0.0000 0.0000 0.5000
Fe1 0.0000 0.0000 0.0000
O1 0.0000 0.5000 0.0000
O2 0.5000 0.0000 0.0000
V1 0.5000 0.5000 0.5000
```